# 1
VASP calculation (PBE-GGA) on a geometry-optimized RbSn2BiI8 structure.

a = 7.461 Å, b = 7.838 Å, c = 9.691 Å
α = 89.84°, β = 89.82°, γ = 88.86°
Space group P-1 (No. 2)
Symmetry-distinct sites (fractional):
1 Rb 0.000 0.000 0.000 x1
2 Sn 0.499 0.500 0.251 x2
3 Bi 0.000 0.000 0.500 x1
4 I 0.238 0.330 0.500 x2
5 I 0.256 0.839 0.720 x2
6 I 0.257 0.840 0.280 x2
7 I 0.274 0.374 0.001 x2

Results
- Total energy: -0.09956 Ha/atom
- Total magnetization: 0.00 μB per atom
- Crystal system: triclinic

# 2
VASP calculation (PBE-GGA) on a geometry-optimized Al2BiO structure.

a = 5.159 Å, b = 5.159 Å, c = 11.555 Å
α = 90.00°, β = 90.00°, γ = 90.00°
Space group I-42d (No. 122)
Symmetry-distinct sites (fractional):
1 Al 0.081 0.250 0.125 x8
2 Bi 0.000 0.000 0.500 x4
3 O 0.000 0.000 0.000 x4

Results
- Density of states at the Fermi level: 7.0 states/eV per cell
- Total energy: -0.17682 Ha/atom
- Polymorph energy (0 for the lowest one): 0.0 meV/atom
- Total magnetization: 0.00 μB per atom
- Crystal system: tetragonal

# 3
VASP calculation (PBE-GGA) on a geometry-optimized ErCuAg structure.

a = 5.095 Å, b = 5.118 Å, c = 5.145 Å
α = 91.32°, β = 119.59°, γ = 90.10°
Space group P-1 (No. 2)
Symmetry-distinct sites (fractional):
1 Er 0.243 0.244 0.483 x2
2 Cu 0.080 0.731 0.168 x2
3 Ag 0.421 0.748 0.850 x2

Results
- Density of states at the Fermi level: 1.7 states/eV per cell
- Total energy: -0.14979 Ha/atom
- Polymorph energy (0 for the lowest one): 32.3 meV/atom
- Total magnetization: 0.00 μB per atom
- Crystal system: triclinic
- Formation energy: -0.239 eV/atom

# 4
VASP calculation (PBE-GGA) on a geometry-optimized Ba2HoSb3O12 structure.

a = 7.4974 Å, b = 7.4974 Å, c = 17.0612 Å
α = 90.00°, β = 90.00°, γ = 120.00°
Space group R-3m (No. 166, hexagonal axes)
Symmetry-distinct sites (fractional):
1 Ba 0.0000 0.0000 0.1170 x6
2 Ho 0.0000 0.0000 0.5000 x3
3 Sb 0.0000 0.5000 0.0000 x9
4 O 0.0044 0.5022 0.8836 x18
5 O 0.0645 0.5322 0.3254 x18

Results
- Density of states at the Fermi level: 15.5 states/eV per cell
- Total energy: -0.23355 Ha/atom
- Total magnetization: 0.11 μB per atom
- Crystal system: trigonal

# 5
VASP calculation (PBE-GGA) on a geometry-optimized CrSb2W structure.

a = 3.521 Å, b = 3.737 Å, c = 11.916 Å
α = 90.00°, β = 90.00°, γ = 90.00°
Space group Imm2 (No. 44)
Symmetry-distinct sites (fractional):
1 Cr 0.000 0.000 0.000 x2
2 Sb 0.000 0.000 0.562 x2
3 Sb 0.000 0.500 0.323 x2
4 W 0.000 0.500 0.728 x2

Results
- Density of states at the Fermi level: 2.8 states/eV per cell
- Total energy: -0.26606 Ha/atom
- Polymorph energy (0 for the lowest one): 238.8 meV/atom
- Total magnetization: 0.50 μB per atom
- Crystal system: orthorhombic

# 6
VASP calculation (PBE-GGA) on a geometry-optimized HfScCr structure.

a = 3.265 Å, b = 3.265 Å, c = 10.934 Å
α = 90.00°, β = 90.00°, γ = 90.00°
Space group I4mm (No. 107)
Symmetry-distinct sites (fractional):
1 Hf 0.000 0.000 0.000 x2
2 Sc 0.000 0.000 0.721 x2
3 Cr 0.000 0.000 0.373 x2

Results
- Density of states at the Fermi level: 6.5 states/eV per cell
- Total energy: -0.31056 Ha/atom
- Polymorph energy (0 for the lowest one): 0.0 meV/atom
- Total magnetization: 0.30 μB per atom
- Crystal system: tetragonal
- Formation energy: 0.185 eV/atom

# 7
VASP calculation (PBE-GGA) on a geometry-optimized NaNb4GeN8 structure.

a = 6.2069 Å, b = 6.2069 Å, c = 15.4193 Å
α = 90.00°, β = 90.00°, γ = 120.00°
Space group R3m (No. 160, hexagonal axes)
Symmetry-distinct sites (fractional):
1 Na 0.0000 0.0000 0.0000 x3
2 Nb 0.0000 0.0000 0.6224 x3
3 Nb 0.1698 0.3395 0.8325 x9
4 Ge 0.0000 0.0000 0.3833 x3
5 N 0.0000 0.0000 0.2524 x3
6 N 0.0000 0.0000 0.7567 x3
7 N 0.1674 0.3347 0.5742 x9
8 N 0.1683 0.3365 0.0943 x9

Results
- Density of states at the Fermi level: 10.7 states/eV per cell
- Total energy: -0.31447 Ha/atom
- Total magnetization: 0.00 μB per atom
- Crystal system: trigonal

# 8
VASP calculation (PBE-GGA) on a geometry-optimized PrSmTc4 structure.

a = 7.760 Å, b = 7.760 Å, c = 7.760 Å
α = 90.00°, β = 90.00°, γ = 90.00°
Space group F-43m (No. 216)
Symmetry-distinct sites (fractional):
1 Pr 0.000 0.000 0.000 x4
2 Sm 0.250 0.250 0.250 x4
3 Tc 0.125 0.125 0.625 x16

Results
- Density of states at the Fermi level: 38.1 states/eV per cell
- Total energy: -0.31044 Ha/atom
- Total magnetization: 0.00 μB per atom
- Crystal system: cubic
- Formation energy: 0.046 eV/atom